Entry 1:
# MgGaAu14

Crystalline MgGaAu14 at its relaxed geometry (PBE, Alexandria).

final energy = -3.266 eV per atom
theoretical density = 16.49 g/cm3
energy relative to the elements = -0.109 eV/atom
calculated volume = 17.94 Å³ per atom

a = 5.984 Å, b = 5.984 Å, c = 8.017 Å
α = 90.00°, β = 90.00°, γ = 90.05°
Sites, in units of the cell vectors:
1 Mg 0.875 0.875 0.500
2 Ga 0.375 0.375 0.500
3 Au 0.875 0.875 0.000
4 Au 0.375 0.375 0.000
5 Au 0.875 0.375 0.500
6 Au 0.875 0.375 0.000
7 Au 0.375 0.875 0.500
8 Au 0.375 0.875 0.000
9 Au 0.625 0.125 0.254
10 Au 0.625 0.125 0.746
11 Au 0.125 0.625 0.254
12 Au 0.125 0.625 0.746
13 Au 0.625 0.625 0.255
14 Au 0.625 0.625 0.745
15 Au 0.125 0.125 0.255
16 Au 0.125 0.125 0.745

=====

Entry 2:
# RbTlSbPt2

Crystalline RbTlSbPt2 at its relaxed geometry (PBE, Alexandria).

final energy = -4.179 eV per atom
theoretical density = 8.33 g/cm3
calculated volume = 31.98 Å³ per atom

a = 4.531 Å, b = 7.924 Å, c = 9.766 Å
α = 114.22°, β = 90.00°, γ = 90.00°
Sites, in units of the cell vectors:
1 Rb 0.250 0.940 0.210
2 Rb 0.750 0.060 0.790
3 Tl 0.250 0.282 0.599
4 Tl 0.750 0.718 0.401
5 Sb 0.250 0.357 0.132
6 Sb 0.750 0.643 0.868
7 Pt 0.750 0.494 0.576
8 Pt 0.250 0.506 0.424
9 Pt 0.750 0.491 0.079
10 Pt 0.250 0.509 0.921

=====

Entry 3:
# CuSi5

Crystalline CuSi5 at its relaxed geometry (PBE, Alexandria).

final energy = -4.780 eV per atom
theoretical density = 4.03 g/cm3
calculated volume = 14.02 Å³ per atom

a = 4.678 Å, b = 4.678 Å, c = 4.440 Å
α = 90.00°, β = 90.00°, γ = 120.00°
Sites, in units of the cell vectors:
1 Cu 0.000 0.000 0.500
2 Si 0.671 0.000 0.000
3 Si 0.329 0.329 0.000
4 Si 0.000 0.671 0.000
5 Si 0.667 0.333 0.500
6 Si 0.333 0.667 0.500

=====

Entry 4:
# YHfNb2W

Crystalline YHfNb2W at its relaxed geometry (PBE, Alexandria).

final energy = -7.885 eV per atom
theoretical density = 8.66 g/cm3
energy relative to the elements = 2.017 eV/atom
calculated volume = 24.43 Å³ per atom

a = 4.826 Å, b = 5.245 Å, c = 4.826 Å
α = 90.00°, β = 90.00°, γ = 90.00°
Sites, in units of the cell vectors:
1 Y 0.000 0.500 0.000
2 Nb 0.000 0.000 0.500
3 Nb 0.500 0.000 0.000
4 Hf 0.000 0.000 0.000
5 W 0.500 0.500 0.500

=====

Entry 5:
# LuZnSn

Crystalline LuZnSn at its relaxed geometry (PBE, Alexandria).

final energy = -3.753 eV per atom
theoretical density = 8.89 g/cm3
energy relative to the elements = -0.487 eV/atom
calculated volume = 22.36 Å³ per atom

a = 4.470 Å, b = 4.470 Å, c = 15.504 Å
α = 90.00°, β = 90.00°, γ = 120.00°
Sites, in units of the cell vectors:
1 Zn 0.333 0.667 0.162
2 Zn 0.667 0.333 0.662
3 Zn 0.333 0.667 0.338
4 Zn 0.667 0.333 0.838
5 Lu 0.000 0.000 0.000
6 Lu 0.000 0.000 0.750
7 Lu 0.000 0.000 0.500
8 Lu 0.000 0.000 0.250
9 Sn 0.667 0.333 0.388
10 Sn 0.333 0.667 0.888
11 Sn 0.333 0.667 0.612
12 Sn 0.667 0.333 0.112

=====

Entry 6:
# ZnOs2W

Crystalline ZnOs2W at its relaxed geometry (PBE, Alexandria).

final energy = -9.041 eV per atom
theoretical density = 17.57 g/cm3
energy relative to the elements = 0.130 eV/atom
calculated volume = 14.88 Å³ per atom

a = 9.026 Å, b = 9.026 Å, c = 9.026 Å
α = 17.73°, β = 17.73°, γ = 17.73°
Sites, in units of the cell vectors:
1 Os 0.999 0.999 0.999
2 Os 0.501 0.501 0.501
3 W 0.250 0.250 0.250
4 Zn 0.750 0.750 0.750

=====

Entry 7:
# Ac12Al3H5

Crystalline Ac12Al3H5 at its relaxed geometry (PBE, Alexandria).

final energy = -4.013 eV per atom
theoretical density = 7.45 g/cm3
calculated volume = 31.32 Å³ per atom

a = 14.819 Å, b = 14.819 Å, c = 14.819 Å
α = 109.47°, β = 109.47°, γ = 109.47°
Sites, in units of the cell vectors:
1 Al 0.750 0.375 0.125
2 Al 0.875 0.750 0.125
3 Al 0.375 0.750 0.625
4 Al 0.250 0.125 0.375
5 Al 0.875 0.125 0.250
6 Al 0.375 0.625 0.250
7 Al 0.625 0.375 0.750
8 Al 0.125 0.875 0.750
9 Al 0.750 0.875 0.625
10 Al 0.625 0.250 0.375
11 Al 0.125 0.250 0.875
12 Al 0.250 0.625 0.875
13 H 0.125 0.375 0.250
14 H 0.000 0.500 0.000
15 H 0.000 0.000 0.000
16 H 0.375 0.250 0.125
17 H 0.500 0.000 0.500
18 H 0.500 0.500 0.000
19 H 0.125 0.750 0.375
20 H 0.750 0.125 0.875
21 H 0.750 0.625 0.375
22 H 0.375 0.125 0.750
23 H 0.625 0.875 0.250
24 H 0.500 0.500 0.500
25 H 0.500 0.000 0.000
26 H 0.000 0.000 0.500
27 H 0.250 0.375 0.625
28 H 0.250 0.875 0.125
29 H 0.000 0.500 0.500
30 H 0.875 0.250 0.625
31 H 0.625 0.750 0.875
32 H 0.875 0.625 0.750
33 Ac 0.711 0.115 0.022
34 Ac 0.311 0.522 0.407
35 Ac 0.978 0.385 0.289
36 Ac 0.522 0.211 0.115
37 Ac 0.596 0.711 0.689
38 Ac 0.978 0.593 0.189
39 Ac 0.311 0.789 0.404
40 Ac 0.093 0.904 0.115
41 Ac 0.593 0.978 0.689
42 Ac 0.711 0.596 0.189
43 Ac 0.789 0.478 0.385
44 Ac 0.811 0.907 0.022
45 Ac 0.115 0.711 0.522
46 Ac 0.385 0.407 0.096
47 Ac 0.096 0.907 0.385
48 Ac 0.404 0.115 0.593
49 Ac 0.096 0.189 0.211
50 Ac 0.478 0.689 0.093
51 Ac 0.811 0.904 0.289
52 Ac 0.115 0.404 0.093
53 Ac 0.385 0.978 0.789
54 Ac 0.593 0.615 0.404
55 Ac 0.907 0.811 0.522
56 Ac 0.789 0.311 0.904
57 Ac 0.407 0.385 0.596
58 Ac 0.093 0.189 0.478
59 Ac 0.211 0.689 0.096
60 Ac 0.189 0.096 0.711
61 Ac 0.615 0.022 0.211
62 Ac 0.885 0.596 0.907
63 Ac 0.522 0.311 0.907
64 Ac 0.596 0.885 0.407
65 Ac 0.904 0.811 0.789
66 Ac 0.904 0.093 0.615
67 Ac 0.885 0.289 0.478
68 Ac 0.189 0.093 0.978
69 Ac 0.615 0.593 0.904
70 Ac 0.407 0.022 0.311
71 Ac 0.289 0.404 0.811
72 Ac 0.211 0.522 0.615
73 Ac 0.907 0.096 0.885
74 Ac 0.689 0.211 0.596
75 Ac 0.478 0.789 0.885
76 Ac 0.022 0.407 0.811
77 Ac 0.404 0.289 0.311
78 Ac 0.022 0.615 0.711
79 Ac 0.689 0.478 0.593
80 Ac 0.289 0.885 0.978

=====

Entry 8:
# TiTe2IBr

Crystalline TiTe2IBr at its relaxed geometry (PBE, Alexandria).

final energy = -2.488 eV per atom
theoretical density = 4.71 g/cm3
calculated volume = 35.98 Å³ per atom

a = 5.672 Å, b = 5.672 Å, c = 5.592 Å
α = 90.00°, β = 90.00°, γ = 90.00°
Last column: magnetic moment on the atom in μB.
Sites, in units of the cell vectors:
1 I 0.000 0.000 0.500  0.00
2 Te 0.000 0.500 0.000  -0.04
3 Te 0.500 0.000 0.000  -0.04
4 Br 0.000 0.000 0.000  -0.02
5 Ti 0.500 0.500 0.500  -0.14